La2ThCu: relaxed, PBE.

a = 11.5243 Å, b = 11.5243 Å, c = 11.5243 Å
α = 17.48°, β = 17.48°, γ = 17.48°
Sites, in units of the cell vectors:
La 0.1016 0.1016 0.1016
La 0.8984 0.8984 0.8984
Th 0.0000 0.0000 0.0000
Cu 0.5000 0.5000 0.5000

As for the energy of formation: 0.250 eV/atom. As for the space-group type: R-3m (166). The value obtained for the magnetization is 0.00 μB/f.u.